Record 1
# GGA-PBEsol ScMoOs2, optimized geometry
data_ScMoOs2
_symmetry_space_group_name_H-M 'P 1'
_symmetry_Int_Tables_number 1
_symmetry_space_group_name_Hall 'P 1'
_cell_length_a 3.093
_cell_length_b 4.392
_cell_length_c 5.234
_cell_angle_alpha 114.81
_cell_angle_beta 107.19
_cell_angle_gamma 90.00
loop_
_atom_site_label
_atom_site_fract_x
_atom_site_fract_y
_atom_site_fract_z
_atom_site_occupancy
Os1 0.994 0.994 0.989 1
Mo1 0.255 0.755 0.509 1
Sc1 0.501 0.501 0.002 1
Os2 0.750 0.250 0.500 1
# Formation enthalpy at 0 K, eV/atom: -0.001


Record 2
# GGA-PBEsol Ni2AgRh, optimized geometry
data_Ni2AgRh
_symmetry_space_group_name_H-M 'P 1'
_symmetry_Int_Tables_number 1
_symmetry_space_group_name_Hall 'P 1'
_cell_length_a 2.657
_cell_length_b 2.657
_cell_length_c 7.249
_cell_angle_alpha 90.00
_cell_angle_beta 90.00
_cell_angle_gamma 90.00
loop_
_atom_site_label
_atom_site_fract_x
_atom_site_fract_y
_atom_site_fract_z
_atom_site_occupancy
Ni1 0.000 0.000 0.765 1
Ag1 0.500 0.500 0.500 1
Rh1 0.500 0.500 0.000 1
Ni2 0.000 0.000 0.235 1
# Formation enthalpy at 0 K, eV/atom: 0.146


Record 3
# GGA-PBEsol MoBrOF2, optimized geometry
data_MoBrOF2
_symmetry_space_group_name_H-M 'P 1'
_symmetry_Int_Tables_number 1
_symmetry_space_group_name_Hall 'P 1'
_cell_length_a 3.939
_cell_length_b 3.939
_cell_length_c 5.238
_cell_angle_alpha 90.00
_cell_angle_beta 90.00
_cell_angle_gamma 90.00
loop_
_atom_site_label
_atom_site_fract_x
_atom_site_fract_y
_atom_site_fract_z
_atom_site_occupancy
Br1 0.000 0.000 0.000 1
F1 0.000 0.500 0.000 1
Mo1 0.000 0.000 0.500 1
O1 0.500 0.500 0.500 1
F2 0.500 0.000 0.000 1
# Energy relative to the elements, uncorrected, meV/atom: 500


Record 4
# GGA-PBEsol Li3Fe3NiO8, optimized geometry
data_Li3Fe3NiO8
_symmetry_space_group_name_H-M 'P 1'
_symmetry_Int_Tables_number 1
_symmetry_space_group_name_Hall 'P 1'
_cell_length_a 5.583
_cell_length_b 5.583
_cell_length_c 5.707
_cell_angle_alpha 60.72
_cell_angle_beta 60.72
_cell_angle_gamma 60.00
loop_
_atom_site_label
_atom_site_fract_x
_atom_site_fract_y
_atom_site_fract_z
_atom_site_occupancy
O1 0.738 0.237 0.788 1
O2 0.262 0.763 0.212 1
O3 0.258 0.258 0.225 1
Li1 0.000 0.500 0.500 1
O4 0.763 0.262 0.212 1
Fe1 0.000 0.500 0.000 1
O5 0.763 0.763 0.212 1
O6 0.742 0.742 0.775 1
Li2 0.000 0.000 0.500 1
Fe2 0.500 0.500 0.000 1
Li3 0.500 0.000 0.500 1
O7 0.237 0.738 0.788 1
O8 0.237 0.237 0.788 1
Fe3 0.500 0.000 0.000 1
Ni1 0.000 0.000 0.000 1
# Energy relative to the elements, uncorrected, meV/atom: -1473


Record 5
# GGA-PBEsol Te7O6F30, optimized geometry
data_Te7O6F30
_symmetry_space_group_name_H-M 'P 1'
_symmetry_Int_Tables_number 1
_symmetry_space_group_name_Hall 'P 1'
_cell_length_a 8.954
_cell_length_b 8.954
_cell_length_c 10.624
_cell_angle_alpha 65.08
_cell_angle_beta 65.08
_cell_angle_gamma 60.00
loop_
_atom_site_label
_atom_site_fract_x
_atom_site_fract_y
_atom_site_fract_z
_atom_site_occupancy
F1 0.199 0.542 0.638 1
F2 0.735 0.377 0.140 1
Te1 0.769 0.079 0.759 1
Te2 0.231 0.921 0.241 1
F3 0.093 0.476 0.343 1
F4 0.265 0.623 0.860 1
Te3 0.393 0.769 0.759 1
F5 0.542 0.620 0.638 1
Te4 0.921 0.607 0.241 1
F6 0.904 0.214 0.634 1
F7 0.456 0.368 0.121 1
F8 0.620 0.199 0.638 1
F9 0.623 0.252 0.860 1
Te5 0.079 0.393 0.759 1
F10 0.524 0.911 0.657 1
F11 0.089 0.093 0.343 1
F12 0.632 0.945 0.879 1
Te6 0.607 0.231 0.241 1
O1 0.073 0.055 0.117 1
O2 0.927 0.945 0.883 1
F13 0.748 0.735 0.140 1
F14 0.476 0.089 0.343 1
F15 0.786 0.752 0.366 1
F16 0.907 0.524 0.657 1
F17 0.945 0.544 0.879 1
F18 0.380 0.801 0.362 1
F19 0.214 0.248 0.634 1
F20 0.377 0.748 0.140 1
O3 0.055 0.755 0.117 1
O4 0.945 0.245 0.883 1
F21 0.368 0.055 0.121 1
F22 0.458 0.380 0.362 1
F23 0.544 0.632 0.879 1
F24 0.055 0.456 0.121 1
F25 0.801 0.458 0.362 1
F26 0.252 0.265 0.860 1
F27 0.752 0.096 0.366 1
F28 0.248 0.904 0.634 1
O5 0.755 0.073 0.117 1
Te7 0.000 0.000 0.000 1
F29 0.096 0.786 0.366 1
F30 0.911 0.907 0.657 1
O6 0.245 0.927 0.883 1
# Energy relative to the elements, uncorrected, meV/atom: -1823


Record 6
# GGA-PBEsol Y2AlIn2, optimized geometry
data_Y2AlIn2
_symmetry_space_group_name_H-M 'P 1'
_symmetry_Int_Tables_number 1
_symmetry_space_group_name_Hall 'P 1'
_cell_length_a 4.632
_cell_length_b 7.267
_cell_length_c 7.267
_cell_angle_alpha 90.00
_cell_angle_beta 90.00
_cell_angle_gamma 90.00
loop_
_atom_site_label
_atom_site_fract_x
_atom_site_fract_y
_atom_site_fract_z
_atom_site_occupancy
Y1 0.500 0.670 0.830 1
In1 0.000 0.863 0.637 1
Al1 0.000 0.000 0.000 1
Y2 0.500 0.330 0.170 1
Y3 0.500 0.830 0.330 1
In2 0.000 0.637 0.137 1
Al2 0.000 0.500 0.500 1
In3 0.000 0.137 0.363 1
Y4 0.500 0.170 0.670 1
In4 0.000 0.363 0.863 1
# Formation enthalpy at 0 K, eV/atom: -0.471


Record 7
# GGA-PBEsol HgSeBr2, optimized geometry
data_HgSeBr2
_symmetry_space_group_name_H-M 'P 1'
_symmetry_Int_Tables_number 1
_symmetry_space_group_name_Hall 'P 1'
_cell_length_a 3.384
_cell_length_b 3.384
_cell_length_c 10.781
_cell_angle_alpha 80.97
_cell_angle_beta 80.97
_cell_angle_gamma 60.00
loop_
_atom_site_label
_atom_site_fract_x
_atom_site_fract_y
_atom_site_fract_z
_atom_site_occupancy
Br1 0.923 0.923 0.230 1
Se1 0.000 0.000 0.000 1
Hg1 0.500 0.500 0.500 1
Br2 0.077 0.077 0.770 1
# Energy relative to the elements, uncorrected, meV/atom: 95
# E above lowest polymorph, meV/atom: 0


Record 8
# GGA-PBEsol AgRuSe, optimized geometry
data_AgRuSe
_symmetry_space_group_name_H-M 'P 1'
_symmetry_Int_Tables_number 1
_symmetry_space_group_name_Hall 'P 1'
_cell_length_a 3.405
_cell_length_b 4.096
_cell_length_c 4.096
_cell_angle_alpha 120.00
_cell_angle_beta 90.00
_cell_angle_gamma 90.00
loop_
_atom_site_label
_atom_site_fract_x
_atom_site_fract_y
_atom_site_fract_z
_atom_site_occupancy
Ru1 0.500 0.333 0.667 1
Se1 0.500 0.667 0.333 1
Ag1 0.000 0.000 0.000 1
# Energy relative to the elements, uncorrected, meV/atom: 295
# E above lowest polymorph, meV/atom: 0


Record 9
# GGA-PBEsol FeWAu2, optimized geometry
data_FeWAu2
_symmetry_space_group_name_H-M 'P 1'
_symmetry_Int_Tables_number 1
_symmetry_space_group_name_Hall 'P 1'
_cell_length_a 2.752
_cell_length_b 2.752
_cell_length_c 8.021
_cell_angle_alpha 90.00
_cell_angle_beta 90.00
_cell_angle_gamma 90.00
loop_
_atom_site_label
_atom_site_fract_x
_atom_site_fract_y
_atom_site_fract_z
_atom_site_occupancy
Au1 0.000 0.000 0.762 1
W1 0.500 0.500 0.500 1
Fe1 0.500 0.500 0.000 1
Au2 0.000 0.000 0.238 1
# E above lowest polymorph, meV/atom: 99
# Formation enthalpy at 0 K, eV/atom: 0.318


Record 10
# GGA-PBEsol KMo2Ru, optimized geometry
data_KMo2Ru
_symmetry_space_group_name_H-M 'P 1'
_symmetry_Int_Tables_number 1
_symmetry_space_group_name_Hall 'P 1'
_cell_length_a 3.012
_cell_length_b 4.951
_cell_length_c 6.339
_cell_angle_alpha 97.92
_cell_angle_beta 90.00
_cell_angle_gamma 107.71
loop_
_atom_site_label
_atom_site_fract_x
_atom_site_fract_y
_atom_site_fract_z
_atom_site_occupancy
Mo1 0.286 0.572 0.373 1
Mo2 0.714 0.428 0.627 1
K1 0.500 0.000 0.000 1
Ru1 0.000 0.000 0.500 1
# E above lowest polymorph, meV/atom: 0
# Formation enthalpy at 0 K, eV/atom: 1.047


Record 11
# GGA-PBEsol Li5Si2NiO8, optimized geometry
data_Li5Si2NiO8
_symmetry_space_group_name_H-M 'P 1'
_symmetry_Int_Tables_number 1
_symmetry_space_group_name_Hall 'P 1'
_cell_length_a 5.157
_cell_length_b 5.157
_cell_length_c 6.215
_cell_angle_alpha 90.40
_cell_angle_beta 90.40
_cell_angle_gamma 90.82
loop_
_atom_site_label
_atom_site_fract_x
_atom_site_fract_y
_atom_site_fract_z
_atom_site_occupancy
Li1 0.827 0.795 0.741 1
Li2 0.318 0.682 0.500 1
O1 0.861 0.226 0.762 1
O2 0.300 0.306 0.534 1
O3 0.199 0.859 0.751 1
Li3 0.670 0.330 0.500 1
Si1 0.829 0.816 0.254 1
O4 0.694 0.700 0.466 1
O5 0.774 0.139 0.238 1
O6 0.697 0.686 0.030 1
Li4 0.205 0.173 0.259 1
Li5 0.308 0.692 0.000 1
Ni1 0.678 0.322 0.000 1
O7 0.314 0.303 0.970 1
O8 0.141 0.801 0.249 1
Si2 0.184 0.171 0.746 1
# Energy relative to the elements, uncorrected, meV/atom: -2163


Record 12
# GGA-PBEsol Ta4Au, optimized geometry
data_Ta4Au
_symmetry_space_group_name_H-M 'P 1'
_symmetry_Int_Tables_number 1
_symmetry_space_group_name_Hall 'P 1'
_cell_length_a 3.736
_cell_length_b 3.736
_cell_length_c 7.362
_cell_angle_alpha 104.70
_cell_angle_beta 104.70
_cell_angle_gamma 90.00
loop_
_atom_site_label
_atom_site_fract_x
_atom_site_fract_y
_atom_site_fract_z
_atom_site_occupancy
Au1 0.000 0.000 0.000 1
Ta1 0.408 0.408 0.817 1
Ta2 0.750 0.250 0.500 1
Ta3 0.250 0.750 0.500 1
Ta4 0.592 0.592 0.183 1
# E above lowest polymorph, meV/atom: 854
# Formation enthalpy at 0 K, eV/atom: 0.826


no.,calculated volume (Å³/f.u.),theoretical density (Mg/m³)
1,61,14.18
2,51,10.64
3,81,4.69
4,127,4.90
5,644,4.02
6,122,5.90
7,105,6.94
8,49,9.66
9,61,17.32
10,89,6.19
11,165,2.79
12,96,15.94